--- a ---
Entry from Alexandria: crystalline LaY2P at its relaxed geometry (PBEsol).

Structure (CIF):
```
data_LaY2P
_cell_length_a 3.7782
_cell_length_b 3.7782
_cell_length_c 27.8288
_cell_angle_alpha 90.00
_cell_angle_beta 90.00
_cell_angle_gamma 120.00
_symmetry_space_group_name_H-M 'R -3 m'
_symmetry_Int_Tables_number 166
_symmetry_space_group_name_Hall '-R 3 2"'
loop_
_atom_site_label
_atom_site_fract_x
_atom_site_fract_y
_atom_site_fract_z
_atom_site_occupancy
La1 0.0000 0.0000 0.0000 1
Y1 0.0000 0.0000 0.2247 1
P1 0.0000 0.0000 0.5000 1
```

The calculation puts the density of states at the Fermi level at 10.32 states/eV per cell.

--- b ---
Entry from Alexandria: crystalline LaY2P at its relaxed geometry (PBEsol).

Structure (CIF):
```
data_LaY2P
_cell_length_a 6.192
_cell_length_b 10.879
_cell_length_c 4.385
_cell_angle_alpha 90.00
_cell_angle_beta 134.69
_cell_angle_gamma 90.00
_symmetry_space_group_name_H-M 'C 1 2/m 1'
_symmetry_Int_Tables_number 12
_symmetry_space_group_name_Hall '-C 2y'
loop_
_atom_site_label
_atom_site_fract_x
_atom_site_fract_y
_atom_site_fract_z
_atom_site_occupancy
La1 0.000 0.000 0.000 1
Y1 0.250 0.250 0.500 1
P1 0.000 0.500 0.000 1
```

The calculation puts the density of states at the Fermi level at 9.02 states/eV per cell.

--- c ---
Entry from Alexandria: crystalline LaY2P at its relaxed geometry (PBEsol).

Structure (CIF):
```
data_LaY2P
_cell_length_a 7.350
_cell_length_b 7.350
_cell_length_c 7.350
_cell_angle_alpha 90.00
_cell_angle_beta 90.00
_cell_angle_gamma 90.00
_symmetry_space_group_name_H-M 'F -4 3 m'
_symmetry_Int_Tables_number 216
_symmetry_space_group_name_Hall 'F -4 2 3'
loop_
_atom_site_label
_atom_site_fract_x
_atom_site_fract_y
_atom_site_fract_z
_atom_site_occupancy
La1 0.000 0.000 0.000 1
Y1 0.000 0.000 0.500 1
Y2 0.250 0.250 0.250 1
P1 0.250 0.250 0.750 1
```

The calculation puts the density of states at the Fermi level at 16.81 states/eV per cell.

a comes first in stability; the runner-up is 48.2 kJ/mol of atoms higher.

--- a ---
Entry from Alexandria: crystalline LaZrP2 at its relaxed geometry (PBEsol).

Structure (CIF):
```
data_LaZrP2
_cell_length_a 3.513
_cell_length_b 3.652
_cell_length_c 13.593
_cell_angle_alpha 90.00
_cell_angle_beta 90.00
_cell_angle_gamma 90.00
_symmetry_space_group_name_H-M 'I m m 2'
_symmetry_Int_Tables_number 44
_symmetry_space_group_name_Hall 'I 2 -2'
loop_
_atom_site_label
_atom_site_fract_x
_atom_site_fract_y
_atom_site_fract_z
_atom_site_occupancy
La1 0.000 0.000 0.000 1
Zr1 0.000 0.500 0.250 1
P1 0.000 0.000 0.608 1
P2 0.000 0.500 0.823 1
```

The calculation puts the density of states at the Fermi level at 5.91 states/eV per cell.

--- b ---
Entry from Alexandria: crystalline LaZrP2 at its relaxed geometry (PBEsol).

Structure (CIF):
```
data_LaZrP2
_cell_length_a 3.8960
_cell_length_b 3.8960
_cell_length_c 19.6952
_cell_angle_alpha 90.00
_cell_angle_beta 90.00
_cell_angle_gamma 120.00
_symmetry_space_group_name_H-M 'R -3 m'
_symmetry_Int_Tables_number 166
_symmetry_space_group_name_Hall '-R 3 2"'
loop_
_atom_site_label
_atom_site_fract_x
_atom_site_fract_y
_atom_site_fract_z
_atom_site_occupancy
La1 0.0000 0.0000 0.0000 1
Zr1 0.0000 0.0000 0.5000 1
P1 0.0000 0.0000 0.2398 1
```

The calculation puts the density of states at the Fermi level at 4.57 states/eV per cell.

b comes first in stability; the runner-up is 30.0 kJ/mol of atoms higher.

--- a ---
Entry from Alexandria: crystalline La2PbSe at its relaxed geometry (PBEsol).

Structure (CIF):
```
data_La2PbSe
_cell_length_a 7.560
_cell_length_b 7.560
_cell_length_c 7.560
_cell_angle_alpha 90.00
_cell_angle_beta 90.00
_cell_angle_gamma 90.00
_symmetry_space_group_name_H-M 'F -4 3 m'
_symmetry_Int_Tables_number 216
_symmetry_space_group_name_Hall 'F -4 2 3'
loop_
_atom_site_label
_atom_site_fract_x
_atom_site_fract_y
_atom_site_fract_z
_atom_site_occupancy
La1 0.000 0.000 0.000 1
La2 0.250 0.250 0.250 1
Pb1 0.250 0.250 0.750 1
Se1 0.000 0.000 0.500 1
```

The calculation puts the density of states at the Fermi level at 12.20 states/eV per cell.

--- b ---
Entry from Alexandria: crystalline La2PbSe at its relaxed geometry (PBEsol).

Structure (CIF):
```
data_La2PbSe
_cell_length_a 4.4474
_cell_length_b 4.4474
_cell_length_c 21.7259
_cell_angle_alpha 90.00
_cell_angle_beta 90.00
_cell_angle_gamma 120.00
_symmetry_space_group_name_H-M 'R -3 m'
_symmetry_Int_Tables_number 166
_symmetry_space_group_name_Hall '-R 3 2"'
loop_
_atom_site_label
_atom_site_fract_x
_atom_site_fract_y
_atom_site_fract_z
_atom_site_occupancy
La1 0.0000 0.0000 0.2452 1
Pb1 0.0000 0.0000 0.0000 1
Se1 0.0000 0.0000 0.5000 1
```

The calculation puts the density of states at the Fermi level at 5.22 states/eV per cell.

--- c ---
Entry from Alexandria: crystalline La2PbSe at its relaxed geometry (PBEsol).

Structure (CIF):
```
data_La2PbSe
_cell_length_a 4.851
_cell_length_b 4.110
_cell_length_c 11.969
_cell_angle_alpha 90.00
_cell_angle_beta 90.00
_cell_angle_gamma 90.00
_symmetry_space_group_name_H-M 'A m m 2'
_symmetry_Int_Tables_number 38
_symmetry_space_group_name_Hall 'A 2 -2'
loop_
_atom_site_label
_atom_site_fract_x
_atom_site_fract_y
_atom_site_fract_z
_atom_site_occupancy
La1 0.000 0.000 0.000 1
La2 0.500 0.000 0.251 1
Pb1 0.000 0.000 0.737 1
Se1 0.500 0.000 0.503 1
```

The calculation puts the density of states at the Fermi level at 1.62 states/eV per cell.

--- d ---
Entry from Alexandria: crystalline La2PbSe at its relaxed geometry (PBEsol).

Structure (CIF):
```
data_La2PbSe
_cell_length_a 4.452
_cell_length_b 4.452
_cell_length_c 6.296
_cell_angle_alpha 90.00
_cell_angle_beta 90.00
_cell_angle_gamma 90.00
_symmetry_space_group_name_H-M 'P 4/m m m'
_symmetry_Int_Tables_number 123
_symmetry_space_group_name_Hall '-P 4 2'
loop_
_atom_site_label
_atom_site_fract_x
_atom_site_fract_y
_atom_site_fract_z
_atom_site_occupancy
La1 0.000 0.000 0.000 1
La2 0.500 0.500 0.500 1
Pb1 0.000 0.000 0.500 1
Se1 0.500 0.500 0.000 1
```

The calculation puts the density of states at the Fermi level at 1.17 states/eV per cell.

d comes first in stability; the runner-up is 1.0 kJ/mol of atoms higher.

--- a ---
Entry from Alexandria: crystalline La2TePb at its relaxed geometry (PBEsol).

Structure (CIF):
```
data_La2TePb
_cell_length_a 3.770
_cell_length_b 3.770
_cell_length_c 8.377
_cell_angle_alpha 90.00
_cell_angle_beta 90.00
_cell_angle_gamma 90.00
_symmetry_space_group_name_H-M 'P 4/m m m'
_symmetry_Int_Tables_number 123
_symmetry_space_group_name_Hall '-P 4 2'
loop_
_atom_site_label
_atom_site_fract_x
_atom_site_fract_y
_atom_site_fract_z
_atom_site_occupancy
La1 0.000 0.000 0.239 1
Te1 0.500 0.500 0.000 1
Pb1 0.500 0.500 0.500 1
```

The calculation puts the density of states at the Fermi level at 3.41 states/eV per cell.

--- b ---
Entry from Alexandria: crystalline La2TePb at its relaxed geometry (PBEsol).

Structure (CIF):
```
data_La2TePb
_cell_length_a 4.5881
_cell_length_b 4.5881
_cell_length_c 22.3011
_cell_angle_alpha 90.00
_cell_angle_beta 90.00
_cell_angle_gamma 120.00
_symmetry_space_group_name_H-M 'R -3 m'
_symmetry_Int_Tables_number 166
_symmetry_space_group_name_Hall '-R 3 2"'
loop_
_atom_site_label
_atom_site_fract_x
_atom_site_fract_y
_atom_site_fract_z
_atom_site_occupancy
La1 0.0000 0.0000 0.2485 1
Te1 0.0000 0.0000 0.0000 1
Pb1 0.0000 0.0000 0.5000 1
```

The calculation puts the density of states at the Fermi level at 3.76 states/eV per cell.

b comes first in stability; the runner-up is 7.0 kJ/mol of atoms higher.

--- a ---
Entry from Alexandria: crystalline La2TePb at its relaxed geometry (PBEsol).

Structure (CIF):
```
data_La2TePb
_cell_length_a 4.569
_cell_length_b 4.569
_cell_length_c 6.447
_cell_angle_alpha 90.00
_cell_angle_beta 90.00
_cell_angle_gamma 90.00
_symmetry_space_group_name_H-M 'P 4/m m m'
_symmetry_Int_Tables_number 123
_symmetry_space_group_name_Hall '-P 4 2'
loop_
_atom_site_label
_atom_site_fract_x
_atom_site_fract_y
_atom_site_fract_z
_atom_site_occupancy
La1 0.000 0.000 0.000 1
La2 0.500 0.500 0.500 1
Te1 0.000 0.000 0.500 1
Pb1 0.500 0.500 0.000 1
```

The calculation puts the density of states at the Fermi level at 1.39 states/eV per cell.

--- b ---
Entry from Alexandria: crystalline La2TePb at its relaxed geometry (PBEsol).

Structure (CIF):
```
data_La2TePb
_cell_length_a 5.020
_cell_length_b 5.875
_cell_length_c 8.287
_cell_angle_alpha 90.00
_cell_angle_beta 90.00
_cell_angle_gamma 90.00
_symmetry_space_group_name_H-M 'I m m m'
_symmetry_Int_Tables_number 71
_symmetry_space_group_name_Hall '-I 2 2'
loop_
_atom_site_label
_atom_site_fract_x
_atom_site_fract_y
_atom_site_fract_z
_atom_site_occupancy
La1 0.000 0.000 0.247 1
Te1 0.000 0.500 0.500 1
Pb1 0.000 0.500 0.000 1
```

The calculation puts the density of states at the Fermi level at 5.36 states/eV per cell.

a comes first in stability; the runner-up is 17.9 kJ/mol of atoms higher.

--- a ---
Entry from Alexandria: crystalline La5Pt3 at its relaxed geometry (PBEsol).

Structure (CIF):
```
data_La5Pt3
_cell_length_a 11.405
_cell_length_b 11.405
_cell_length_c 6.361
_cell_angle_alpha 90.00
_cell_angle_beta 90.00
_cell_angle_gamma 90.00
_symmetry_space_group_name_H-M 'I 4/m c m'
_symmetry_Int_Tables_number 140
_symmetry_space_group_name_Hall '-I 4 2c'
loop_
_atom_site_label
_atom_site_fract_x
_atom_site_fract_y
_atom_site_fract_z
_atom_site_occupancy
La1 0.000 0.500 0.250 1
La2 0.086 0.212 0.000 1
Pt1 0.000 0.000 0.250 1
Pt2 0.157 0.343 0.500 1
```

The calculation puts the density of states at the Fermi level at 36.52 states/eV per cell.

--- b ---
Entry from Alexandria: crystalline La5Pt3 at its relaxed geometry (PBEsol).

Structure (CIF):
```
data_La5Pt3
_cell_length_a 8.5223
_cell_length_b 8.5223
_cell_length_c 6.7635
_cell_angle_alpha 90.00
_cell_angle_beta 90.00
_cell_angle_gamma 120.00
_symmetry_space_group_name_H-M 'P 63/m c m'
_symmetry_Int_Tables_number 193
_symmetry_space_group_name_Hall '-P 6c 2'
loop_
_atom_site_label
_atom_site_fract_x
_atom_site_fract_y
_atom_site_fract_z
_atom_site_occupancy
La1 0.0000 0.2490 0.2500 1
La2 0.3333 0.6667 0.0000 1
Pt1 0.0000 0.3891 0.7500 1
```

The calculation puts the density of states at the Fermi level at 13.64 states/eV per cell.

b comes first in stability; the runner-up is 3.5 kJ/mol of atoms higher.